Record 1
# HfMgTa

A geometry-optimized HfMgTa structure (PBE, Alexandria).

Calculated values
Density = 10.1 Mg/m³
Total magnetic moment = 0.0 μB/cell
V = 63.0 Å³/f.u.
ΔE_f = 0.23 eV per atom
Symmetry = P3m1 (156)

a b c (Å): 3.109 3.109 7.523
angles (deg): 90.00 90.00 120.00
Sites, in units of the cell vectors:
Hf1 0.667 0.333 0.349
Ta1 0.333 0.667 0.659
Mg1 0.000 0.000 0.992

Record 2
# HfMg2Ta

A geometry-optimized HfMg2Ta structure (PBE, Alexandria).

Calculated values
Density = 7.9 Mg/m³
Total magnetic moment = 0.0 μB/cell
V = 85.5 Å³/f.u.
ΔE_f = 0.79 eV per atom
Symmetry = I-42d (122)

a b c (Å): 7.901 7.901 6.223
angles (deg): 50.59 50.59 90.00
Sites, in units of the cell vectors:
Mg1 0.635 0.125 0.250
Ta1 0.000 0.000 0.000
Hf1 0.500 0.500 0.000
Hf2 0.250 0.750 0.500
Mg2 0.375 0.365 0.750
Ta2 0.750 0.250 0.500
Mg3 0.115 0.625 0.250
Mg4 0.875 0.885 0.750

Record 3
# Hf2MgTaTi

A geometry-optimized Hf2MgTaTi structure (PBE, Alexandria).

Calculated values
Density = 7.9 Mg/m³
Total magnetic moment = 0.0 μB/cell
V = 128.9 Å³/f.u.
ΔE_f = 1.23 eV per atom
Symmetry = P4/mmm (123)

a b c (Å): 4.972 5.216 4.972
angles (deg): 90.00 90.00 90.00
Sites, in units of the cell vectors:
Ti1 0.500 0.500 0.500
Hf1 0.000 0.000 0.500
Ta1 0.000 0.000 0.000
Hf2 0.500 0.000 0.000
Mg1 0.000 0.500 0.000